Crystalline CaLa2MoO6 at its relaxed geometry. Source: the Alexandria database, functional PBE with a Hubbard U.

Computed properties:
Final energy in eV/atom: -7.678
Volume in Å³/atom: 14.67

Unit cell a=5.9969 b=5.9969 c=14.1350 alpha=90.00 beta=90.00 gamma=120.00
Space group R-3 (No. 148, hexagonal axes)
One atom of each set of equivalent atoms:
Ca  0.0000  0.0000  0.0000 x3
La  0.0000  0.0000  0.2669 x6
Mo  0.0000  0.0000  0.5000 x3
O  0.0342  0.4079  0.2525 x18